DFT (PBE-GGA) results for an optimized crystal structure of KSi2As.

The space group is P4/mmm (No. 123) and the conventional cell measures 3.659, 3.659 and 7.084 Å, with angles of 90.00, 90.00 and 90.00 degrees. The inequivalent atoms are K at (0.000, 0.000, 0.000), Si at (0.500, 0.500, 0.339) and As at (0.000, 0.000, 0.500).

The uncorrected formation energy is 0.185 eV per atom. The calculation puts the total energy at -0.2913 Ry per atom.